1.
A plane-wave DFT calculation with PBE was carried out for a relaxed TaRu2Pt crystal.

abc: 3.8458 3.8458 18.2427
angles: 90.00 90.00 90.00
Element x y z (fractional)
Ta1 0.0000 0.0000 0.0000
Ta2 0.0000 0.5000 0.2500
Ta3 0.5000 0.0000 0.7500
Ta4 0.5000 0.5000 0.5000
Ru1 0.2140 0.2500 0.6250
Ru2 0.2500 0.7140 0.8750
Ru3 0.2500 0.7860 0.3750
Ru4 0.2860 0.2500 0.1250
Ru5 0.7140 0.7500 0.1250
Ru6 0.7500 0.2140 0.3750
Ru7 0.7500 0.2860 0.8750
Ru8 0.7860 0.7500 0.6250
Pt1 0.0000 0.0000 0.5000
Pt2 0.0000 0.5000 0.7500
Pt3 0.5000 0.0000 0.2500
Pt4 0.5000 0.5000 0.0000

- Distance to the lowest polymorph of the same formula: 712 meV/atom
- Calculated volume: 269.8 Å³ per cell
- Formation energy from the elements: 0.2422 eV per atom

***

2.
A plane-wave DFT calculation with PBE was carried out for a relaxed Ta2RuPt crystal.

abc: 9.3310 5.7404 4.8860
angles: 90.00 91.99 90.00
Element x y z (fractional)
Ta1 0.1280 0.2474 0.2997
Ta2 0.1280 0.7526 0.2997
Ta3 0.3720 0.2526 0.7003
Ta4 0.3720 0.7474 0.7003
Ta5 0.6280 0.2526 0.2997
Ta6 0.6280 0.7474 0.2997
Ta7 0.8720 0.2474 0.7003
Ta8 0.8720 0.7526 0.7003
Ru1 0.1195 0.0000 0.7878
Ru2 0.3805 0.5000 0.2122
Ru3 0.6195 0.5000 0.7878
Ru4 0.8805 0.0000 0.2122
Pt1 0.1243 0.5000 0.8201
Pt2 0.3757 0.0000 0.1799
Pt3 0.6243 0.0000 0.8201
Pt4 0.8757 0.5000 0.1799

- Calculated volume: 261.6 Å³ per cell
- Formation energy from the elements: -0.4616 eV per atom

***

3.
A plane-wave DFT calculation with PBE was carried out for a relaxed Ta2RuPt crystal.

abc: 5.5651 5.5773 8.4161
angles: 90.00 90.00 90.00
Element x y z (fractional)
Ta1 0.0000 0.0000 0.0000
Ta2 0.0000 0.5000 0.5000
Ta3 0.2500 0.2500 0.2500
Ta4 0.2500 0.7500 0.7500
Ta5 0.5000 0.0000 0.5000
Ta6 0.5000 0.5000 0.0000
Ta7 0.7500 0.2500 0.7500
Ta8 0.7500 0.7500 0.2500
Ru1 0.0000 0.0000 0.5000
Ru2 0.0000 0.5000 0.0000
Ru3 0.5000 0.0000 0.0000
Ru4 0.5000 0.5000 0.5000
Pt1 0.2500 0.2500 0.7500
Pt2 0.2500 0.7500 0.2500
Pt3 0.7500 0.2500 0.2500
Pt4 0.7500 0.7500 0.7500

- Calculated volume: 261.2 Å³ per cell
- Formation energy from the elements: -0.3888 eV per atom

***

4.
A plane-wave DFT calculation with PBE was carried out for a relaxed TaRu2Pt crystal.

abc: 2.7927 2.7927 27.4016
angles: 90.00 90.00 120.00
Element x y z (fractional)
Ta1 0.0000 0.0000 0.0000
Ta2 0.3333 0.6667 0.6667
Ta3 0.6667 0.3333 0.3333
Ru1 0.0000 0.0000 0.2461
Ru2 0.0000 0.0000 0.5042
Ru3 0.3333 0.6667 0.1708
Ru4 0.3333 0.6667 0.9128
Ru5 0.6667 0.3333 0.5795
Ru6 0.6667 0.3333 0.8375
Pt1 0.0000 0.0000 0.7514
Pt2 0.3333 0.6667 0.4181
Pt3 0.6667 0.3333 0.0848

- Distance to the lowest polymorph of the same formula: 421 meV/atom
- Calculated volume: 185.1 Å³ per cell
- Formation energy from the elements: -0.0489 eV per atom

***

5.
A plane-wave DFT calculation with PBE was carried out for a relaxed Ta2RuPt crystal.

abc: 2.8490 2.8490 27.9190
angles: 90.00 90.00 120.00
Element x y z (fractional)
Ta1 0.0000 0.0000 0.2487
Ta2 0.0000 0.0000 0.7513
Ta3 0.3333 0.6667 0.4180
Ta4 0.3333 0.6667 0.9153
Ta5 0.6667 0.3333 0.0847
Ta6 0.6667 0.3333 0.5820
Ru1 0.0000 0.0000 0.5000
Ru2 0.3333 0.6667 0.1667
Ru3 0.6667 0.3333 0.8333
Pt1 0.0000 0.0000 0.0000
Pt2 0.3333 0.6667 0.6667
Pt3 0.6667 0.3333 0.3333

- Calculated volume: 196.3 Å³ per cell
- Formation energy from the elements: -0.1627 eV per atom

***

6.
A plane-wave DFT calculation with PBE was carried out for a relaxed TaRu2Pt crystal.

abc: 3.9182 3.9182 7.8968
angles: 90.00 90.00 90.00
Element x y z (fractional)
Ta1 0.0000 0.0000 0.0000
Ta2 0.5000 0.5000 0.5000
Ru1 0.0000 0.0000 0.5000
Ru2 0.0000 0.5000 0.2500
Ru3 0.5000 0.0000 0.7500
Ru4 0.5000 0.5000 0.0000
Pt1 0.0000 0.5000 0.7500
Pt2 0.5000 0.0000 0.2500

- Distance to the lowest polymorph of the same formula: 78 meV/atom
- Calculated volume: 121.2 Å³ per cell
- Formation energy from the elements: -0.3920 eV per atom

***

7.
A plane-wave DFT calculation with PBE was carried out for a relaxed Ta2Ru3Pt3 crystal.

abc: 3.9299 4.0097 7.7391
angles: 90.00 90.00 90.00
Element x y z (fractional)
Ta1 0.0000 0.0000 0.2432
Ta2 0.0000 0.0000 0.7568
Ru1 0.0000 0.5000 0.0000
Ru2 0.5000 0.0000 0.0000
Ru3 0.5000 0.0000 0.5000
Pt1 0.0000 0.5000 0.5000
Pt2 0.5000 0.5000 0.2488
Pt3 0.5000 0.5000 0.7512

- Calculated volume: 121.9 Å³ per cell
- Formation energy from the elements: -0.5605 eV per atom

***

8.
A plane-wave DFT calculation with PBE was carried out for a relaxed TaRu2Pt crystal.

abc: 2.7990 2.7990 7.8692
angles: 90.00 90.00 90.00
Element x y z (fractional)
Ta1 0.0000 0.0000 0.0000
Ru1 0.5000 0.5000 0.2523
Ru2 0.5000 0.5000 0.7477
Pt1 0.0000 0.0000 0.5000

- Distance to the lowest polymorph of the same formula: 412 meV/atom
- Calculated volume: 61.7 Å³ per cell
- Formation energy from the elements: -0.0577 eV per atom

***

9.
A plane-wave DFT calculation with PBE was carried out for a relaxed TaRuPt crystal.

abc: 6.0761 6.0761 6.0761
angles: 90.00 90.00 90.00
Element x y z (fractional)
Ta1 0.0000 0.0000 0.0000
Ta2 0.0000 0.5000 0.5000
Ta3 0.5000 0.0000 0.5000
Ta4 0.5000 0.5000 0.0000
Ru1 0.2500 0.2500 0.2500
Ru2 0.2500 0.7500 0.7500
Ru3 0.7500 0.2500 0.7500
Ru4 0.7500 0.7500 0.2500
Pt1 0.0000 0.0000 0.5000
Pt2 0.0000 0.5000 0.0000
Pt3 0.5000 0.0000 0.0000
Pt4 0.5000 0.5000 0.5000

- Distance to the lowest polymorph of the same formula: 681 meV/atom
- Calculated volume: 224.3 Å³ per cell
- Formation energy from the elements: 0.2116 eV per atom

***

10.
A plane-wave DFT calculation with PBE was carried out for a relaxed TaRuPt crystal.

abc: 7.5558 7.5558 7.5558
angles: 120.73 87.26 122.47
Element x y z (fractional)
Ta1 0.1698 0.0371 0.2069
Ta2 0.1698 0.4629 0.6327
Ta3 0.4388 0.7507 0.1881
Ta4 0.5626 0.2507 0.8119
Ta5 0.8302 0.5371 0.3673
Ta6 0.8302 0.9629 0.7931
Ru1 0.2412 0.2412 0.0000
Ru2 0.2412 0.7412 0.5000
Ru3 0.5334 0.2114 0.4392
Ru4 0.5334 0.5943 0.8220
Ru5 0.7723 0.0943 0.5608
Ru6 0.7723 0.7114 0.1780
Pt1 0.1340 0.0587 0.5753
Pt2 0.4246 0.9613 0.9634
Pt3 0.4834 0.5587 0.4247
Pt4 0.8575 0.1456 0.2119
Pt5 0.9337 0.6456 0.7881
Pt6 0.9979 0.4613 0.0366

- Distance to the lowest polymorph of the same formula: 171 meV/atom
- Calculated volume: 297.2 Å³ per cell
- Formation energy from the elements: -0.2987 eV per atom

***

11.
A plane-wave DFT calculation with PBE was carried out for a relaxed TaRuPt3 crystal.

abc: 4.8196 4.8196 4.8196
angles: 90.00 90.00 90.00
Element x y z (fractional)
Ta1 0.0000 0.0000 0.0000
Ru1 0.5000 0.5000 0.5000
Pt1 0.0000 0.0000 0.5000
Pt2 0.0000 0.5000 0.0000
Pt3 0.5000 0.0000 0.0000

- Distance to the lowest polymorph of the same formula: 0 meV/atom
- Calculated volume: 112.0 Å³ per cell
- Formation energy from the elements: 1.3555 eV per atom

***

12.
A plane-wave DFT calculation with PBE was carried out for a relaxed Ta4RuPt crystal.

abc: 5.3078 5.3078 5.3078
angles: 60.00 60.00 60.00
Element x y z (fractional)
Ta1 0.3758 0.3758 0.3758
Ta2 0.3758 0.3758 0.8727
Ta3 0.3758 0.8727 0.3758
Ta4 0.8727 0.3758 0.3758
Ru1 0.7500 0.7500 0.7500
Pt1 0.0000 0.0000 0.0000

- Calculated volume: 105.7 Å³ per cell
- Formation energy from the elements: 0.2135 eV per atom